No. 1
Entry from Alexandria: crystalline Cs3TlPb4 at its relaxed geometry (PBE).

Unit cell a=7.2880 b=7.3536 c=14.6787 alpha=90.00 beta=90.00 gamma=90.00
With the nearest neighbours (Å) after each atom.
Sites, in units of the cell vectors:
Cs 0.5487 0.0000 0.0000  2 Tl 3.83, 4 Pb 4.00-4.05
Cs 0.4513 0.5000 0.5000  2 Tl 3.83, 4 Pb 4.00-4.05
Cs 0.8123 0.5000 0.7457  1 Tl 3.83, 5 Pb 4.12-4.26
Cs 0.8123 0.5000 0.2543  1 Tl 3.83, 5 Pb 4.12-4.26
Cs 0.1877 0.0000 0.7543  1 Tl 3.83, 5 Pb 4.12-4.26
Cs 0.1877 0.0000 0.2457  1 Tl 3.83, 5 Pb 4.12-4.26
Pb 0.3007 0.5000 0.8902  3 Pb 3.16-3.22, 1 Tl 3.31
Pb 0.3007 0.5000 0.1098  3 Pb 3.16-3.22, 1 Tl 3.31
Pb 0.0445 0.2323 0.0000  3 Pb 3.16-3.42, 1 Tl 3.21
Pb 0.0445 0.7677 0.0000  3 Pb 3.16-3.42, 1 Tl 3.21
Pb 0.9555 0.7323 0.5000  3 Pb 3.16-3.42, 1 Tl 3.21
Pb 0.9555 0.2677 0.5000  3 Pb 3.16-3.42, 1 Tl 3.21
Pb 0.6993 0.0000 0.3902  3 Pb 3.16-3.22, 1 Tl 3.31
Pb 0.6993 0.0000 0.6098  3 Pb 3.16-3.22, 1 Tl 3.31
Tl 0.6968 0.5000 0.0000  4 Pb 3.21-3.31
Tl 0.3032 0.0000 0.5000  4 Pb 3.21-3.31

SG: Pmmn
formation energy: -17.3 kJ/mol of atoms
DOS at the Fermi energy: 0.308 states/eV/atom
electronic total energy: -42.4 eV/cell
density: 6.0 g/cm3

=====

No. 2
Entry from Alexandria: crystalline Mg2InNi at its relaxed geometry (PBE).

Unit cell a=3.3666 b=3.3666 c=6.4779 alpha=90.00 beta=90.00 gamma=90.00
With the nearest neighbours (Å) after each atom.
Sites, in units of the cell vectors:
In 0.5000 0.5000 0.7166  4 Ni 2.78, 5 Mg 2.79-3.02
Mg 0.0000 0.0000 0.0023  8 Mg 3.01-3.37, 4 In 3.02, 2 Ni 3.19-3.29
Mg 0.5000 0.5000 0.2864  4 Ni 2.74, 1 In 2.79, 4 Mg 3.01
Ni 0.0000 0.0000 0.4947  4 Mg 2.74, 4 In 2.78

SG: P4mm
formation energy: -6.4 kJ/mol of atoms
DOS at the Fermi energy: 0.403 states/eV/atom
electronic total energy: -12.0 eV/cell
density: 5.0 g/cm3

=====

No. 3
Entry from Alexandria: crystalline Sc4BeCl at its relaxed geometry (PBE).

Unit cell a=5.8320 b=5.8320 c=5.8320 alpha=60.00 beta=60.00 gamma=60.00
With the nearest neighbours (Å) after each atom.
Sites, in units of the cell vectors:
Sc 0.3775 0.8676 0.3775  6 Sc 2.86-2.97
Sc 0.8676 0.3775 0.3775  6 Sc 2.86-2.97
Sc 0.3775 0.3775 0.8676  6 Sc 2.86-2.97
Sc 0.3775 0.3775 0.3775  6 Sc 2.86-2.97
Be 0.7500 0.7500 0.7500  12 Sc 3.41, 4 Cl 3.57
Cl 0.0000 0.0000 0.0000  12 Sc 3.43, 4 Be 3.57

E_form (uncorrected): 562.1 meV per atom
SG: F-43m
DOS at the Fermi energy: 1.364 states/eV/atom
electronic total energy: -27.5 eV/cell
density: 2.7 g/cm3

=====

No. 4
Entry from Alexandria: crystalline PuCo4Ge4 at its relaxed geometry (PBE).

Unit cell a=5.7680 b=5.7680 c=8.0275 alpha=90.00 beta=90.00 gamma=90.00
With the nearest neighbours (Å) after each atom.
Sites, in units of the cell vectors:
Pu 0.0000 0.0000 0.0000  4 Ge 3.02, 8 Co 3.28
Pu 0.5000 0.5000 0.5000  4 Ge 3.02, 8 Co 3.28
Co 0.2235 0.5000 0.8905  5 Ge 2.35-2.45, 1 Co 2.58
Co 0.7765 0.5000 0.8905  5 Ge 2.35-2.45, 1 Co 2.58
Co 0.5000 0.7765 0.1095  5 Ge 2.35-2.45, 1 Co 2.58
Co 0.5000 0.2235 0.1095  5 Ge 2.35-2.45, 1 Co 2.58
Co 0.0000 0.7235 0.3905  5 Ge 2.35-2.45, 1 Co 2.58
Co 0.0000 0.2765 0.3905  5 Ge 2.35-2.45, 1 Co 2.58
Co 0.2765 0.0000 0.6095  5 Ge 2.35-2.45, 1 Co 2.58
Co 0.7235 0.0000 0.6095  5 Ge 2.35-2.45, 1 Co 2.58
Ge 0.5000 0.7837 0.8169  5 Co 2.35-2.45, 1 Ge 2.50
Ge 0.5000 0.2163 0.8169  5 Co 2.35-2.45, 1 Ge 2.50
Ge 0.7837 0.5000 0.1831  5 Co 2.35-2.45, 1 Ge 2.50
Ge 0.2163 0.5000 0.1831  5 Co 2.35-2.45, 1 Ge 2.50
Ge 0.2837 0.0000 0.3169  5 Co 2.35-2.45, 1 Ge 2.50
Ge 0.7163 0.0000 0.3169  5 Co 2.35-2.45, 1 Ge 2.50
Ge 0.0000 0.2837 0.6831  5 Co 2.35-2.45, 1 Ge 2.50
Ge 0.0000 0.7163 0.6831  5 Co 2.35-2.45, 1 Ge 2.50

SG: P4_2/nmc
formation energy: -19.7 kJ/mol of atoms
DOS at the Fermi energy: 2.366 states/eV/atom
electronic total energy: -126.1 eV/cell
density: 9.6 g/cm3